Density functional theory data (GGA-PBE) for Gd2NbN after structural relaxation.

Structure (CIF):
```
data_Gd2NbN
_chemical_formula_sum 'Gd2 Nb1 N1'
_space_group_name_H-M_alt 'P 1'
_space_group_IT_number 1
_space_group_name_Hall 'P 1'
_cell_length_a 9.048
_cell_length_b 9.048
_cell_length_c 9.048
_cell_angle_alpha 21.15
_cell_angle_beta 21.15
_cell_angle_gamma 21.15
loop_
_atom_site_label
_atom_site_type_symbol
_atom_site_fract_x
_atom_site_fract_y
_atom_site_fract_z
Gd1 Gd 0.113 0.113 0.113
Gd2 Gd 0.887 0.887 0.887
Nb1 Nb 0.000 0.000 0.000
N1 N 0.500 0.500 0.500
```

Results
SG = R-3m
Formation energy without anion corrections = -241 meV per atom
Total magnetization = 15.56 μB per formula unit
Total energy = -11.880 eV/atom